A plane-wave DFT calculation with PBE-GGA was carried out for a relaxed CrFe2W2 crystal.

a b c (Å): 6.8561 6.8561 2.8964
angles (deg): 90.00 90.00 90.00
Fractional positions:
Cr (0.0000, 0.0000, 0.0000)
Cr (0.5000, 0.5000, 0.0000)
Fe (0.1288, 0.3712, 0.0000)
Fe (0.3712, 0.8712, 0.0000)
Fe (0.6288, 0.1288, 0.0000)
Fe (0.8712, 0.6288, 0.0000)
W (0.1729, 0.6729, 0.5000)
W (0.3271, 0.1729, 0.5000)
W (0.6729, 0.8271, 0.5000)
W (0.8271, 0.3271, 0.5000)

Output
**VASP energy**: -10.169 eV/atom

A plane-wave DFT calculation with PBE-GGA was carried out for a relaxed LiY2PaAs4 crystal.

a b c (Å): 6.9573 4.1473 7.1032
angles (deg): 90.00 108.61 90.00
Fractional positions:
Li (0.0000, 0.0000, 0.0000)
Y (0.0000, 0.5000, 0.5000)
Y (0.5000, 0.0000, 0.5000)
Pa (0.5000, 0.5000, 0.0000)
As (0.2508, 0.0000, 0.7584)
As (0.2569, 0.5000, 0.2445)
As (0.7431, 0.5000, 0.7555)
As (0.7492, 0.0000, 0.2416)

Output
**VASP energy**: -6.494 eV/atom

A plane-wave DFT calculation with PBE-GGA was carried out for a relaxed CuGe2Pb2 crystal.

a b c (Å): 7.5517 7.5517 4.5199
angles (deg): 90.00 90.00 90.00
Fractional positions:
Cu (0.0000, 0.0000, 0.0000)
Cu (0.5000, 0.5000, 0.0000)
Ge (0.1169, 0.3831, 0.5000)
Ge (0.3831, 0.8831, 0.5000)
Ge (0.6169, 0.1169, 0.5000)
Ge (0.8831, 0.6169, 0.5000)
Pb (0.1801, 0.6801, 0.0000)
Pb (0.3199, 0.1801, 0.0000)
Pb (0.6801, 0.8199, 0.0000)
Pb (0.8199, 0.3199, 0.0000)

Output
**VASP energy**: -3.751 eV/atom
**Relative energy among the computed polymorphs**: 1.15 eV per formula unit

A plane-wave DFT calculation with PBE-GGA was carried out for a relaxed SiAg2Ru crystal.

a b c (Å): 5.6728 5.6728 2.8719
angles (deg): 104.23 104.23 125.18
Fractional positions:
Si (0.0000, 0.0000, 0.0000)
Ag (0.0000, 0.5000, 0.5000)
Ag (0.5000, 0.0000, 0.5000)
Ru (0.5000, 0.5000, 0.0000)

Output
**VASP energy**: -4.867 eV/atom
**Formation energy from raw total energies**: 0.23 eV per atom

A plane-wave DFT calculation with PBE-GGA was carried out for a relaxed HoZrCdPd crystal.

a b c (Å): 4.9819 4.9819 4.9819
angles (deg): 60.00 60.00 60.00
Fractional positions:
Ho (0.0000, 0.0000, 0.0000)
Zr (0.5000, 0.5000, 0.5000)
Cd (0.2500, 0.2500, 0.2500)
Pd (0.7500, 0.7500, 0.7500)

Output
**VASP energy**: -5.150 eV/atom

A plane-wave DFT calculation with PBE-GGA was carried out for a relaxed CuAg3Au6 crystal.

a b c (Å): 7.6814 4.8089 10.1007
angles (deg): 90.00 109.48 90.00
Fractional positions:
Cu (0.0994, 0.2500, 0.0668)
Cu (0.9006, 0.7500, 0.9332)
Ag (0.1007, 0.7500, 0.7345)
Ag (0.2998, 0.7500, 0.5302)
Ag (0.3073, 0.2500, 0.8708)
Ag (0.6927, 0.7500, 0.1292)
Ag (0.7002, 0.2500, 0.4698)
Ag (0.8993, 0.2500, 0.2655)
Au (0.0865, 0.7500, 0.2174)
Au (0.1007, 0.2500, 0.5680)
Au (0.2817, 0.7500, 0.0281)
Au (0.2929, 0.2500, 0.3588)
Au (0.4924, 0.2500, 0.1643)
Au (0.4989, 0.7500, 0.3330)
Au (0.5011, 0.2500, 0.6670)
Au (0.5076, 0.7500, 0.8357)
Au (0.7071, 0.7500, 0.6412)
Au (0.7183, 0.2500, 0.9719)
Au (0.8993, 0.7500, 0.4320)
Au (0.9135, 0.2500, 0.7826)

Output
**VASP energy**: -3.253 eV/atom
**Relative energy among the computed polymorphs**: 0.00 eV per formula unit

A plane-wave DFT calculation with PBE-GGA was carried out for a relaxed Ca5U3N8 crystal.

a b c (Å): 6.9752 6.9752 6.9752
angles (deg): 60.26 60.26 60.26
Fractional positions:
Ca (0.0000, 0.0000, 0.0000)
Ca (0.0000, 0.5000, 0.5000)
Ca (0.5000, 0.0000, 0.5000)
Ca (0.5000, 0.5000, 0.0000)
Ca (0.5000, 0.5000, 0.5000)
U (0.0000, 0.0000, 0.5000)
U (0.0000, 0.5000, 0.0000)
U (0.5000, 0.0000, 0.0000)
N (0.2125, 0.7501, 0.7501)
N (0.2397, 0.2397, 0.2397)
N (0.2499, 0.2499, 0.7875)
N (0.2499, 0.7875, 0.2499)
N (0.7501, 0.2125, 0.7501)
N (0.7501, 0.7501, 0.2125)
N (0.7603, 0.7603, 0.7603)
N (0.7875, 0.2499, 0.2499)

Output
**VASP energy**: -8.196 eV/atom
**Formation energy from raw total energies**: -1.29 eV per atom

A plane-wave DFT calculation with PBE-GGA was carried out for a relaxed Cs2HgBr3Cl crystal.

a b c (Å): 9.7104 9.7104 9.7104
angles (deg): 146.36 145.87 48.68
Fractional positions:
Cs (0.1351, 0.1351, 0.0000)
Cs (0.8649, 0.8649, 0.0000)
Hg (0.5000, 0.5000, 0.0000)
Br (0.0000, 0.5000, 0.5000)
Br (0.3438, 0.3438, 0.0000)
Br (0.6562, 0.6562, 0.0000)
Cl (0.5000, 0.0000, 0.5000)

Output
**VASP energy**: -2.546 eV/atom
**Formation energy from raw total energies**: -1.28 eV per atom